Entry 1:
DFT (PBE) results for crystalline Tl6VI12 at its relaxed geometry.

abc: 9.447 9.447 9.447
angles: 93.60 93.60 93.60
Positions (direct):
Tl1 0.152 0.691 0.347
Tl2 0.309 0.653 0.848
Tl3 0.347 0.152 0.691
Tl4 0.653 0.848 0.309
Tl5 0.691 0.347 0.152
Tl6 0.848 0.309 0.653
V1 0.000 0.000 0.000
I1 0.008 0.013 0.289
I2 0.013 0.289 0.008
I3 0.178 0.419 0.569
I4 0.289 0.008 0.013
I5 0.419 0.569 0.178
I6 0.431 0.822 0.581
I7 0.569 0.178 0.419
I8 0.581 0.431 0.822
I9 0.711 0.992 0.987
I10 0.822 0.581 0.431
I11 0.987 0.711 0.992
I12 0.992 0.987 0.711

Values from the calculation:
**Uncorrected energy**: -2.64 eV/atom
**E_form (uncorrected)**: -0.434 eV per atom
**Crystal system**: trigonal
**N(E_F)**: 18.85 states/eV per cell

Entry 2:
DFT (PBE) results for crystalline Tl3VI at its relaxed geometry.

abc: 5.579 5.579 5.579
angles: 90.00 90.00 90.00
Positions (direct):
Tl1 0.000 0.000 0.500
Tl2 0.000 0.500 0.000
Tl3 0.500 0.000 0.000
V1 0.000 0.000 0.000
I1 0.500 0.500 0.500

Values from the calculation:
**Uncorrected energy**: -3.33 eV/atom
**E_form (uncorrected)**: 0.226 eV per atom
**Crystal system**: cubic
**N(E_F)**: 1.41 states/eV per cell
**Energy above the lowest structure with this stoichiometry**: 0.0 meV per atom

Entry 3:
DFT (PBE) results for crystalline Tl2VI6 at its relaxed geometry.

abc: 7.765 8.403 13.339
angles: 90.00 125.00 90.00
Positions (direct):
Tl1 0.225 0.091 0.250
Tl2 0.225 0.409 0.750
Tl3 0.775 0.591 0.250
Tl4 0.775 0.909 0.750
V1 0.500 0.000 0.000
V2 0.500 0.500 0.500
I1 0.164 0.176 0.954
I2 0.164 0.324 0.454
I3 0.281 0.723 0.958
I4 0.281 0.777 0.458
I5 0.347 0.013 0.758
I6 0.347 0.487 0.258
I7 0.653 0.513 0.742
I8 0.653 0.987 0.242
I9 0.719 0.223 0.542
I10 0.719 0.277 0.042
I11 0.836 0.676 0.546
I12 0.836 0.824 0.046

Values from the calculation:
**Uncorrected energy**: -3.05 eV/atom
**E_form (uncorrected)**: -0.481 eV per atom
**Crystal system**: monoclinic
**N(E_F)**: 13.60 states/eV per cell

Entry 4:
DFT (PBE) results for crystalline TlVI4 at its relaxed geometry.

abc: 9.754 9.754 14.326
angles: 120.29 120.29 24.69
Positions (direct):
Tl1 0.248 0.752 0.750
Tl2 0.752 0.248 0.250
V1 0.000 0.500 0.000
V2 0.500 0.000 0.500
I1 0.043 0.543 0.653
I2 0.155 0.653 0.029
I3 0.347 0.845 0.471
I4 0.457 0.957 0.847
I5 0.543 0.043 0.153
I6 0.653 0.155 0.529
I7 0.845 0.347 0.971
I8 0.957 0.457 0.347

Values from the calculation:
**Uncorrected energy**: -3.44 eV/atom
**E_form (uncorrected)**: -0.496 eV per atom
**Crystal system**: monoclinic
**N(E_F)**: 6.47 states/eV per cell